# 1
MnBe2Pt at its PBEsol-relaxed geometry. Source: Alexandria, functional SCAN.

a b c (Å): 3.900 3.900 3.900
angles (deg): 60.00 60.00 60.00
Element x y z (fractional)
Mn  0.000  0.000  0.000
Be  0.250  0.250  0.250
Be  0.750  0.750  0.750
Pt  0.500  0.500  0.500

Computed properties:
energy relative to the lowest polymorph listed for this composition	0.00	eV/f.u.
spin magnetization	3.38	Bohr magnetons per cell
formation energy	-293.1	kJ/mol of formula units



# 2
MnBePt2 at its PBEsol-relaxed geometry. Source: Alexandria, functional SCAN.

a b c (Å): 3.954 3.954 3.331
angles (deg): 90.00 90.00 90.00
Element x y z (fractional)
Mn  0.000  0.000  0.000
Be  0.500  0.500  0.000
Pt  0.000  0.500  0.500
Pt  0.500  0.000  0.500

Computed properties:
spin magnetization	4.60	Bohr magnetons per cell
formation energy	-292.5	kJ/mol of formula units



# 3
MnBePt2 at its PBEsol-relaxed geometry. Source: Alexandria, functional SCAN.

a b c (Å): 5.034 5.034 5.034
angles (deg): 147.46 130.98 60.07
Element x y z (fractional)
Mn  0.000  0.000  0.000
Be  0.763  0.263  0.500
Pt  0.270  0.770  0.500
Pt  0.551  0.551  0.000

Computed properties:
spin magnetization	4.32	Bohr magnetons per cell
formation energy	-243.5	kJ/mol of formula units



# 4
MnBe2Pt at its PBEsol-relaxed geometry. Source: Alexandria, functional SCAN.

a b c (Å): 4.031 4.031 4.498
angles (deg): 99.75 99.75 37.87
Element x y z (fractional)
Mn  0.000  0.000  0.000
Be  0.249  0.249  0.758
Be  0.751  0.751  0.242
Pt  0.500  0.500  0.500

Computed properties:
energy relative to the lowest polymorph listed for this composition	1.41	eV/f.u.
spin magnetization	3.43	Bohr magnetons per cell
formation energy	-157.1	kJ/mol of formula units